This record from Alexandria via LeMat-Bulk describes a geometry-optimized ZrTa2Fe structure. The functional is PBE-GGA. Values from VASP.

```
&SYSTEM
  ibrav = 0, nat = 4, ntyp = 3
/
ATOMIC_SPECIES
Zr 91.22 Zr.upf
Ta 180.95 Ta.upf
Fe 55.84 Fe.upf
CELL_PARAMETERS angstrom
2.971 0.000 0.000
0.000 4.389 0.000
-1.156 0.000 5.348
ATOMIC_POSITIONS angstrom
Zr 0.000 0.000 0.000
Ta -0.031 2.195 3.826
Ta 1.094 0.000 2.556
Fe 2.007 2.195 1.359
```

Formation energy in kJ/mol of formula units: 61
Offset from the most stable computed form in meV per atom: 187